Compound: CsSm4Br12
Source: Alexandria via LeMat-Bulk
Functional: GGA-PBE
Structure: relaxed

POSCAR file:
```
CsSm4Br12
1.0
9.558 0.000 0.000
-3.186 9.011 0.000
-3.186 -4.505 7.804
Br Sm Cs
12 4 1
Cartesian
-0.683 0.483 3.782
3.088 0.367 2.309
6.469 2.184 0.837
0.683 3.517 1.473
3.284 7.195 1.473
-0.098 -2.689 6.331
0.098 4.138 5.494
2.503 0.988 6.331
3.869 4.023 4.021
-3.284 2.322 6.967
5.689 -1.471 5.494
-2.503 5.977 2.309
-1.593 4.505 0.000
-1.593 -2.253 3.902
1.593 2.253 3.902
4.779 0.000 0.000
0.000 0.000 0.000
```

Properties
Spin magnetization ... 0.00 μB/f.u.
Symmetry ... Im-3 (204)
Formation energy without anion corrections ... -172 kJ per mole of atoms
V ... 672.1 Å³/cell


Compound: CrRe4Te
Source: Alexandria via LeMat-Bulk
Functional: GGA-PBE
Structure: relaxed

POSCAR file:
```
CrRe4Te
1.0
-3.993 -3.215 1.227
-4.145 1.849 2.682
-4.661 0.551 -2.401
Te Re Cr
1 4 1
Cartesian
-9.599 -0.611 1.131
-6.874 0.624 1.912
-7.134 -0.028 -0.643
-4.791 -0.305 0.564
-6.798 -1.921 1.181
0.000 0.000 0.000
```

Properties
Spin magnetization ... 2.80 μB/f.u.
Symmetry ... F-43m (216)
Formation energy without anion corrections ... 75 kJ per mole of atoms
V ... 103.6 Å³/cell


Compound: ScTi3H
Source: Alexandria via LeMat-Bulk
Functional: GGA-PBE
Structure: relaxed

POSCAR file:
```
ScTi3H
1.0
4.229 0.000 0.000
0.000 4.229 0.000
0.000 0.000 4.229
H Ti Sc
1 3 1
Cartesian
0.000 0.000 0.000
0.000 0.000 2.115
0.000 2.115 0.000
2.115 0.000 0.000
2.115 2.115 2.115
```

Properties
Spin magnetization ... 0.00 μB/f.u.
Symmetry ... Pm-3m (221)
V ... 75.6 Å³/cell


Compound: Tb2Zn2Sn
Source: Alexandria via LeMat-Bulk
Functional: GGA-PBE
Structure: relaxed

POSCAR file:
```
Tb2Zn2Sn
1.0
-3.061 -5.288 3.722
5.869 -4.001 -0.857
3.411 3.376 7.600
Sn Zn Tb
4 8 8
Cartesian
2.558 2.532 5.699
2.257 -3.801 3.332
0.853 0.844 1.900
3.963 -2.112 7.133
3.531 -4.598 8.430
1.826 -6.286 4.630
2.688 -1.315 2.035
4.846 -4.657 2.551
6.551 -2.969 6.351
4.393 0.373 5.835
1.374 -1.256 7.914
-0.332 -2.944 4.114
0.006 -2.423 1.073
-0.609 -5.690 2.801
2.802 -6.866 1.792
4.508 -5.178 5.592
3.418 -3.599 0.065
1.712 -0.735 4.873
1.096 -4.002 6.601
5.123 -1.911 3.864
```

Properties
Energy of formation ... -0.506 eV/atom
Spin magnetization ... 0.00 μB/f.u.
Symmetry ... P4/mbm (127)
V ... 460.1 Å³/cell


Compound: ScTl2CuBr6
Source: Alexandria via LeMat-Bulk
Functional: GGA-PBE
Structure: relaxed

POSCAR file:
```
ScTl2CuBr6
1.0
7.805 0.000 0.085
0.000 8.974 0.000
0.145 0.000 9.454
Br Tl Cu Sc
12 4 2 2
Cartesian
6.688 6.745 9.012
5.237 2.258 5.297
1.262 2.229 0.528
6.193 7.616 5.221
6.995 4.822 2.726
1.757 1.358 4.319
2.218 5.845 0.451
3.165 8.640 7.410
4.784 0.334 2.129
5.732 3.129 9.088
2.713 6.717 4.242
0.955 4.153 6.814
7.655 0.868 7.209
4.270 5.355 7.100
3.680 3.619 2.439
0.295 8.106 2.330
0.073 4.487 4.727
3.902 0.000 0.043
3.975 0.000 4.770
0.000 4.487 0.000
```

Properties
Spin magnetization ... 0.16 μB/f.u.
Symmetry ... P2_1/c (14)
Formation energy without anion corrections ... -101 kJ per mole of atoms
V ... 662.1 Å³/cell


Compound: Li3IF
Source: Alexandria via LeMat-Bulk
Functional: GGA-PBE
Structure: relaxed

POSCAR file:
```
Li3IF
1.0
5.225 0.000 0.000
0.000 5.225 0.000
0.000 0.000 5.225
I Li F
1 3 1
Cartesian
0.000 0.000 0.000
0.000 0.000 2.613
2.613 0.000 0.000
0.000 2.613 0.000
2.613 2.613 2.613
```

Properties
Spin magnetization ... 0.72 μB/f.u.
Symmetry ... Pm-3m (221)
Formation energy without anion corrections ... -66 kJ per mole of atoms
V ... 142.7 Å³/cell


| no. | uncorrected energy (eV per atom) | DOS(E_F) (states/eV/atom) |
| --- | --- | --- |
| 1 | -4.13 | 0.39 |
| 2 | -9.65 | 0.88 |
| 3 | -6.71 | 1.81 |
| 4 | -3.67 | 0.56 |
| 5 | -3.57 | 0.00 |
| 6 | -2.52 | 0.45 |